First-principles (PBE) data for crystalline Nd2IrO6 at its relaxed geometry, as listed in Alexandria.

extended XYZ file:
```
18
Lattice="-3.839 3.796 0.835 -3.685 -4.289 2.558 3.430 1.064 6.725" Properties=species:S:1:pos:R:3 pbc="T T T"
Nd -1.460 -2.150 3.239
Nd -2.633 2.721 6.879
Nd -1.280 1.627 2.302
Nd -2.813 -1.056 7.816
O -5.942 -0.504 4.896
O -2.224 1.245 8.724
O -0.835 -0.157 6.819
O -1.869 -0.674 1.394
O -0.075 2.456 7.376
O -2.731 -2.012 5.438
O -4.018 -1.885 2.742
O -1.362 2.583 4.680
O -3.258 0.728 3.299
O -0.066 -0.200 3.732
O -4.028 0.771 6.387
O 1.849 1.075 5.222
Ir 1.715 0.532 3.363
Ir -3.762 -0.247 1.696
```

=====

First-principles (PBE) data for crystalline NdIr2O6 at its relaxed geometry, as listed in Alexandria.

extended XYZ file:
```
9
Lattice="5.020 0.000 0.000 0.000 4.595 -2.653 0.000 0.000 5.306" Properties=species:S:1:pos:R:3 pbc="T T T"
O 1.437 4.595 0.722
O 1.437 2.923 3.619
O 1.437 1.673 0.966
O 3.583 1.673 -0.966
O 3.583 0.000 1.931
O 3.583 2.923 1.687
Ir 2.510 1.532 2.653
Ir 2.510 3.064 0.000
Nd 0.000 0.000 0.000
```

=====

First-principles (PBE) data for crystalline Nd6Ir2O at its relaxed geometry, as listed in Alexandria.

extended XYZ file:
```
18
Lattice="6.578 0.000 -0.001 0.000 7.314 0.000 0.318 0.000 9.896" Properties=species:S:1:pos:R:3 pbc="T T T"
Nd 2.453 5.993 9.246
Nd 5.583 4.978 4.298
Nd 1.510 2.412 9.287
Nd 2.501 3.938 2.389
Nd 5.950 7.032 7.337
Nd 4.444 1.321 0.650
Nd 0.947 0.282 2.559
Nd 4.640 1.245 4.338
Nd 2.256 6.069 5.557
Nd 5.386 4.901 0.609
Nd 1.314 2.336 5.598
Nd 4.395 3.375 7.507
Ir 3.720 6.513 2.542
Ir 0.590 4.458 7.491
Ir 3.177 0.801 7.354
Ir 6.307 2.856 2.405
O 3.289 3.657 0.000
O 0.159 0.000 4.948
```

=====

First-principles (PBE) data for crystalline Nd6IrO12 at its relaxed geometry, as listed in Alexandria.

extended XYZ file:
```
19
Lattice="-1.843 6.126 2.087 -4.393 -3.634 3.574 5.398 -0.811 3.935" Properties=species:S:1:pos:R:3 pbc="T T T"
O 1.619 1.283 5.861
O -1.777 2.674 5.320
O -2.458 0.398 3.736
O 0.939 -0.993 4.277
O 1.855 -3.138 6.280
O -5.233 0.935 4.948
O -2.810 -3.340 4.736
O 1.971 5.022 4.861
O -1.342 -0.948 5.993
O -2.694 4.819 3.316
O 0.504 2.630 3.604
O 4.394 0.746 4.649
Nd 2.095 0.872 3.566
Nd -1.284 -1.586 3.701
Nd 0.445 3.268 5.895
Nd -2.933 0.809 6.031
Nd 0.865 -0.823 6.649
Nd -1.704 2.504 2.948
Ir 0.000 0.000 0.000
```

=====

6
Lattice="3.649 0.000 -0.001 0.000 3.649 -0.002 0.002 0.003 5.415" Properties=species:S:1:pos:R:3 comment="NdIrO4 (PBE, relaxed)" polymorph_energy_mev_per_atom=317 pbc="T T T"
O 1.830 3.640 1.540
O 1.831 3.642 3.850
O 0.006 1.817 3.852
O 0.005 1.815 1.542
Nd 1.831 1.818 5.404
Ir 0.006 3.641 2.696

=====

24
Lattice="-2.272 2.504 4.366 -7.017 -1.953 -2.532 1.588 -6.027 4.284" Properties=species:S:1:pos:R:3 comment="NdIrO4 (PBE, relaxed)" polymorph_energy_mev_per_atom=0 pbc="T T T"
O -6.322 -5.194 5.710
O -1.379 -0.281 0.408
O -6.294 -5.641 2.857
O -4.455 -3.955 3.620
O -5.738 -0.851 0.987
O -3.888 -0.364 5.162
O -3.246 -1.521 2.498
O -1.408 0.166 3.261
O -6.339 -3.453 -0.723
O -6.608 -2.742 2.590
O -1.362 -2.023 6.840
O -3.813 -5.111 0.956
O -1.432 -5.659 2.679
O -6.270 0.184 3.438
O -1.964 -4.624 5.131
O -1.094 -2.734 3.527
Nd -4.028 0.671 2.969
Nd -3.673 -6.147 3.148
Nd -3.096 -2.495 4.846
Nd -4.605 -2.981 1.272
Ir -6.440 -4.056 4.065
Ir -0.371 -4.540 4.009
Ir -1.262 -1.420 2.052
Ir -7.330 -0.936 2.109

=====

First-principles (PBE) data for crystalline NdIrPbO6 at its relaxed geometry, as listed in Alexandria.

extended XYZ file:
```
18
Lattice="5.780 0.000 0.000 -2.890 5.006 0.000 0.000 0.000 9.416" Properties=species:S:1:pos:R:3 pbc="T T T"
Ir 0.000 3.337 7.062
Ir 2.890 1.669 2.354
O 1.285 1.696 3.450
O 4.495 1.696 1.258
O 3.716 3.045 3.450
O 2.064 3.045 1.258
O -0.779 4.741 5.966
O 3.669 0.265 3.450
O 2.111 0.265 1.258
O -1.605 3.310 8.158
O 0.826 1.961 8.158
O 1.605 3.310 5.966
O 0.779 4.741 8.158
O -0.826 1.961 5.966
Nd 0.000 3.337 2.354
Nd 2.890 1.669 7.062
Pb 0.000 0.000 4.708
Pb 0.000 0.000 0.000
```

=====

First-principles (PBE) data for crystalline Pm2NdIrO8 at its relaxed geometry, as listed in Alexandria.

extended XYZ file:
```
12
Lattice="-4.215 2.669 1.396 -2.579 -4.434 0.714 2.115 -0.155 6.681" Properties=species:S:1:pos:R:3 pbc="T T T"
Nd 1.058 -0.078 3.340
Pm -1.809 -0.999 6.074
Pm -2.870 -0.921 2.716
O -1.059 -0.622 3.998
O -3.619 -1.298 4.792
O -2.236 1.260 6.596
O -2.442 -3.180 2.194
O -5.030 -1.310 1.563
O -3.493 1.352 2.632
O 0.351 -0.609 7.228
O -1.186 -3.272 6.158
Ir 0.000 0.000 0.000
```

=====

First-principles (PBE) data for crystalline PmNdIrO6 at its relaxed geometry, as listed in Alexandria.

extended XYZ file:
```
18
Lattice="5.649 0.000 0.000 -2.825 4.893 0.000 0.000 0.000 9.792" Properties=species:S:1:pos:R:3 pbc="T T T"
O 2.047 3.049 1.336
O 4.442 1.595 1.336
O 1.208 1.595 3.560
O 3.602 3.049 3.560
O -0.777 1.844 6.233
O 3.664 0.249 3.560
O -0.839 4.644 6.233
O 0.839 4.644 8.456
O 1.985 0.249 1.336
O 1.617 3.298 6.233
O 0.777 1.844 8.456
O -1.617 3.298 8.456
Ir 2.825 1.631 2.448
Ir 0.000 3.262 7.344
Nd 0.000 0.000 0.000
Nd 0.000 0.000 4.896
Pm 2.825 1.631 7.344
Pm 0.000 3.262 2.448
```

=====

First-principles (PBE) data for crystalline PmNd2IrO8 at its relaxed geometry, as listed in Alexandria.

extended XYZ file:
```
12
Lattice="-0.324 -5.046 -1.183 2.562 0.890 -4.446 6.093 -1.159 3.280" Properties=species:S:1:pos:R:3 pbc="T T T"
O 1.660 -3.086 -4.173
O 5.036 -4.902 0.847
O 4.591 -3.459 -2.249
O 1.437 -4.218 -1.092
O 6.672 -2.229 1.824
O 3.740 -1.856 -0.100
O 3.296 -0.413 -3.196
O 6.894 -1.097 -1.257
Nd 5.699 -2.949 -0.350
Nd 2.633 -2.365 -1.999
Ir 0.000 0.000 0.000
Pm 3.047 -0.579 1.640
```

=====

First-principles (PBE) data for crystalline PrNdIrO6 at its relaxed geometry, as listed in Alexandria.

extended XYZ file:
```
18
Lattice="-0.900 4.990 2.581 1.715 -4.501 3.029 9.379 2.509 -1.581" Properties=species:S:1:pos:R:3 pbc="T T T"
O 3.620 2.839 3.751
O 9.204 -0.605 0.815
O 7.303 -1.040 2.701
O 2.891 4.037 1.328
O 9.160 1.004 3.106
O 6.574 0.158 0.278
O 6.570 1.662 2.639
O 1.034 1.994 0.922
O 3.624 1.336 1.389
O 8.452 2.085 0.623
O 1.742 0.912 3.406
O 0.990 3.603 3.214
Nd 3.188 -0.710 2.484
Nd 7.006 3.708 1.545
Pr 4.689 1.254 -0.791
Pr 0.000 0.000 0.000
Ir 2.316 2.454 2.335
Ir 7.877 0.544 1.694
```

=====

First-principles (PBE) data for crystalline PrNd2IrO8 at its relaxed geometry, as listed in Alexandria.

extended XYZ file:
```
12
Lattice="-2.869 4.264 -0.874 -4.222 -2.438 1.859 1.505 2.343 6.491" Properties=species:S:1:pos:R:3 pbc="T T T"
O -2.811 3.531 0.928
O -1.823 0.473 0.253
O -3.763 3.695 7.224
O -4.127 2.426 3.925
O -1.459 1.743 3.552
O -1.914 4.928 4.799
O -2.775 0.638 6.548
O -3.672 -0.760 2.677
Nd -3.173 1.494 2.102
Nd -2.413 2.675 5.374
Ir 0.000 0.000 0.000
Pr 0.752 1.171 3.245
```

=====

no.,formation energy without anion corrections (eV/f.u.),raw total energy (eV/atom)
1,-19.613,-7.529
2,-12.974,-7.246
3,-8.906,-6.688
4,-53.700,-7.930
5,-9.051,-7.085
6,-10.953,-7.402
7,-12.682,-6.641
8,-26.977,-7.481
9,-19.046,-7.464
10,-26.793,-7.467
11,-18.831,-7.443
12,-26.610,-7.454